1.
The following is a GGA-PBE calculation of Tb2ScGaN after structural relaxation, from Alexandria.

Values from the calculation:
**ΔE_f (raw)**: -1.01 eV/atom
**Density of states at the Fermi level**: 2.33 states/eV/f.u.

a b c (Å): 4.4157 4.7861 4.7861
angles (deg): 90.00 90.00 90.00
Sites, in units of the cell vectors:
Tb (0.0000, 0.0000, 0.5000)
Tb (0.0000, 0.5000, 0.0000)
N (0.0000, 0.0000, 0.0000)
Sc (0.5000, 0.0000, 0.0000)
Ga (0.5000, 0.5000, 0.5000)

---

2.
The following is a GGA-PBE calculation of ScGaTe2N after structural relaxation, from Alexandria.

Values from the calculation:
**ΔE_f (raw)**: 0.21 eV/atom
**Density of states at the Fermi level**: 4.18 states/eV/f.u.

a b c (Å): 5.6471 5.6471 3.5851
angles (deg): 90.00 90.00 90.00
Sites, in units of the cell vectors:
Sc (0.5000, 0.5000, 0.5000)
Te (0.5000, 0.0000, 0.0000)
Te (0.0000, 0.5000, 0.0000)
N (0.0000, 0.0000, 0.5000)
Ga (0.0000, 0.0000, 0.0000)

---

3.
The following is a GGA-PBE calculation of ScGaTe2N after structural relaxation, from Alexandria.

Values from the calculation:
**ΔE_f (raw)**: 0.08 eV/atom
**Density of states at the Fermi level**: 5.82 states/eV/f.u.

a b c (Å): 5.8304 5.8304 3.9254
angles (deg): 90.00 90.00 90.00
Sites, in units of the cell vectors:
Sc (0.0000, 0.0000, 0.0000)
N (0.0000, 0.0000, 0.5000)
Te (0.5000, 0.0000, 0.0000)
Te (0.0000, 0.5000, 0.0000)
Ga (0.5000, 0.5000, 0.5000)

---

4.
The following is a GGA-PBE calculation of Th2ScGaN5 after structural relaxation, from Alexandria.

Values from the calculation:
**ΔE_f (raw)**: -1.16 eV/atom
**Density of states at the Fermi level**: 5.38 states/eV/f.u.

a b c (Å): 3.4321 7.1356 10.2072
angles (deg): 90.00 90.00 103.92
Sites, in units of the cell vectors:
N (0.2918, 0.5836, 0.6538)
N (0.6965, 0.3931, 0.8531)
N (0.3035, 0.6069, 0.3531)
N (0.4994, 0.9988, 0.7863)
N (0.3640, 0.7279, 0.0092)
N (0.6360, 0.2721, 0.5092)
N (0.7082, 0.4164, 0.1538)
N (0.9490, 0.8980, 0.5552)
N (0.0510, 0.1020, 0.0552)
N (0.5006, 0.0012, 0.2863)
Th (0.8793, 0.7586, 0.1936)
Th (0.1207, 0.2414, 0.6936)
Th (0.8676, 0.7352, 0.7926)
Th (0.1324, 0.2648, 0.2926)
Sc (0.7915, 0.5830, 0.5005)
Sc (0.2085, 0.4170, 0.0005)
Ga (0.5147, 0.0293, 0.9796)
Ga (0.4853, 0.9707, 0.4796)

---

5.
The following is a GGA-PBE calculation of Sc2TiGaN after structural relaxation, from Alexandria.

Values from the calculation:
**ΔE_f (raw)**: -1.08 eV/atom
**Density of states at the Fermi level**: 2.93 states/eV/f.u.

a b c (Å): 4.3788 4.3788 4.1392
angles (deg): 90.00 90.00 90.00
Sites, in units of the cell vectors:
Sc (0.5000, 0.0000, 0.0000)
Sc (0.0000, 0.5000, 0.0000)
N (0.0000, 0.0000, 0.0000)
Ti (0.0000, 0.0000, 0.5000)
Ga (0.5000, 0.5000, 0.5000)

---

6.
The following is a GGA-PBE calculation of Sc2TlGaN after structural relaxation, from Alexandria.

Values from the calculation:
**ΔE_f (raw)**: 1.13 eV/atom
**Density of states at the Fermi level**: 4.30 states/eV/f.u.

a b c (Å): 5.0940 4.9748 5.0940
angles (deg): 90.00 90.00 90.00
Sites, in units of the cell vectors:
Tl (0.0000, 0.5000, 0.0000)
Sc (0.5000, 0.0000, 0.0000)
Sc (0.0000, 0.0000, 0.5000)
N (0.5000, 0.5000, 0.5000)
Ga (0.0000, 0.0000, 0.0000)

---

7.
The following is a GGA-PBE calculation of TmSc2GaN after structural relaxation, from Alexandria.

Values from the calculation:
**ΔE_f (raw)**: -1.10 eV/atom
**Density of states at the Fermi level**: 2.52 states/eV/f.u.

a b c (Å): 4.6305 4.4165 4.4165
angles (deg): 90.00 90.00 90.00
Sites, in units of the cell vectors:
Ga (0.5000, 0.5000, 0.5000)
Tm (0.5000, 0.0000, 0.0000)
Sc (0.0000, 0.5000, 0.0000)
Sc (0.0000, 0.0000, 0.5000)
N (0.0000, 0.0000, 0.0000)

---

8.
The following is a GGA-PBE calculation of Y2ScGaN after structural relaxation, from Alexandria.

Values from the calculation:
**ΔE_f (raw)**: -1.03 eV/atom
**Density of states at the Fermi level**: 2.54 states/eV/f.u.

a b c (Å): 4.7619 4.7619 4.4219
angles (deg): 90.00 90.00 90.00
Sites, in units of the cell vectors:
Sc (0.0000, 0.0000, 0.5000)
Y (0.5000, 0.0000, 0.0000)
Y (0.0000, 0.5000, 0.0000)
N (0.0000, 0.0000, 0.0000)
Ga (0.5000, 0.5000, 0.5000)

---

9.
The following is a GGA-PBE calculation of Sc4ZnGaN after structural relaxation, from Alexandria.

Values from the calculation:
**ΔE_f (raw)**: -0.78 eV/atom
**Density of states at the Fermi level**: 1.35 states/eV/f.u.

a b c (Å): 6.2227 6.2207 7.4512
angles (deg): 90.00 114.68 90.00
Sites, in units of the cell vectors:
N (0.2500, 0.7500, 0.5000)
N (0.7500, 0.2500, 0.5000)
Zn (0.6202, 0.7500, 0.2404)
Zn (0.3798, 0.2500, 0.7596)
Ga (0.1208, 0.2500, 0.2415)
Ga (0.8792, 0.7500, 0.7585)
Sc (0.9168, 0.2500, 0.8336)
Sc (0.0000, 0.5000, 0.5000)
Sc (0.4195, 0.7500, 0.8389)
Sc (0.5000, 0.0000, 0.5000)
Sc (0.5000, 0.5000, 0.5000)
Sc (0.0000, 0.0000, 0.5000)
Sc (0.5805, 0.2500, 0.1611)
Sc (0.0832, 0.7500, 0.1664)

---

10.
The following is a GGA-PBE calculation of Zr2ScGaN after structural relaxation, from Alexandria.

Values from the calculation:
**ΔE_f (raw)**: -0.97 eV/atom
**Density of states at the Fermi level**: 2.47 states/eV/f.u.

a b c (Å): 4.4674 4.4674 4.3635
angles (deg): 90.00 90.00 90.00
Sites, in units of the cell vectors:
Zr (0.0000, 0.5000, 0.0000)
Zr (0.5000, 0.0000, 0.0000)
N (0.0000, 0.0000, 0.0000)
Ga (0.5000, 0.5000, 0.5000)
Sc (0.0000, 0.0000, 0.5000)

---

11.
The following is a GGA-PBE calculation of GaSe3N after structural relaxation, from Alexandria.

Values from the calculation:
**ΔE_f (raw)**: 1.37 eV/atom
**Density of states at the Fermi level**: 4.87 states/eV/f.u.

a b c (Å): 5.0317 5.0317 5.0317
angles (deg): 90.00 90.00 90.00
Sites, in units of the cell vectors:
N (0.5000, 0.5000, 0.5000)
Se (0.5000, 0.0000, 0.0000)
Se (0.0000, 0.0000, 0.5000)
Se (0.0000, 0.5000, 0.0000)
Ga (0.0000, 0.0000, 0.0000)

---

12.
The following is a GGA-PBE calculation of GaSe2N after structural relaxation, from Alexandria.

Values from the calculation:
**ΔE_f (raw)**: 0.61 eV/atom
**Density of states at the Fermi level**: 1.47 states/eV/f.u.

a b c (Å): 6.7571 6.7571 6.7571
angles (deg): 36.42 36.42 36.42
Sites, in units of the cell vectors:
Se (0.0920, 0.0920, 0.0920)
Se (0.9080, 0.9080, 0.9080)
N (0.0000, 0.0000, 0.0000)
Ga (0.5000, 0.5000, 0.5000)

---

13.
The following is a GGA-PBE calculation of GaSe2N2 after structural relaxation, from Alexandria.

Values from the calculation:
**ΔE_f (raw)**: 1.52 eV/atom
**Density of states at the Fermi level**: 2.22 states/eV/f.u.

a b c (Å): 4.3636 4.3636 3.9709
angles (deg): 90.00 90.00 90.00
Sites, in units of the cell vectors:
Ga (0.5000, 0.5000, 0.5000)
Se (0.5000, 0.0000, 0.0000)
Se (0.0000, 0.5000, 0.0000)
N (0.0000, 0.0000, 0.5000)
N (0.0000, 0.0000, 0.0000)

---

14.
The following is a GGA-PBE calculation of GaSe2N after structural relaxation, from Alexandria.

Values from the calculation:
**ΔE_f (raw)**: 0.65 eV/atom
**Density of states at the Fermi level**: 1.01 states/eV/f.u.

a b c (Å): 5.2084 5.2084 7.1196
angles (deg): 68.54 68.54 90.00
Sites, in units of the cell vectors:
Se (0.5409, 0.1250, 0.2500)
Se (0.3750, 0.4591, 0.7500)
Se (0.8750, 0.7909, 0.7500)
Se (0.2091, 0.6250, 0.2500)
Ga (0.7500, 0.2500, 0.5000)
Ga (0.0000, 0.0000, 0.0000)
N (0.2500, 0.7500, 0.5000)
N (0.5000, 0.5000, 0.0000)